Entry 1:
Density functional theory data (PBE) for crystalline Er2PuMgN4 at its relaxed geometry.

abc: 5.7509 3.4318 5.8081
angles: 90.00 107.96 90.00
With the nearest neighbours (Å) after each atom.
Positions (direct):
1 Er 0.0000 0.0000 0.0000  6 N 2.35-2.40
2 Er 0.5000 0.5000 0.0000  6 N 2.42-2.44
3 Pu 0.0000 0.5000 0.5000  6 N 2.24-2.41
4 Mg 0.5000 0.0000 0.5000  6 N 2.33-2.43
5 N 0.2361 0.5000 0.2572  1 Pu 2.24, 3 Er 2.40-2.44, 2 Mg 2.43
6 N 0.2505 0.0000 0.7483  1 Mg 2.33, 3 Er 2.35-2.42, 2 Pu 2.41
7 N 0.7495 0.0000 0.2517  1 Mg 2.33, 3 Er 2.35-2.42, 2 Pu 2.41
8 N 0.7639 0.5000 0.7428  1 Pu 2.24, 3 Er 2.40-2.44, 2 Mg 2.43

Properties
- D(E_F): 0.644 states/eV/atom

=====

Entry 2:
Density functional theory data (PBE) for crystalline ErMg2TaN4 at its relaxed geometry.

abc: 5.4726 3.2106 5.6232
angles: 90.00 109.87 90.00
With the nearest neighbours (Å) after each atom.
Positions (direct):
1 Er 0.0000 0.0000 0.0000  6 N 2.30-2.31
2 Mg 0.5000 0.0000 0.5000  6 N 2.24
3 Mg 0.5000 0.5000 0.0000  6 N 2.35-2.43
4 Ta 0.0000 0.5000 0.5000  6 N 2.11-2.18
5 N 0.2355 0.0000 0.7278  2 Ta 2.18, 3 Mg 2.24-2.35, 1 Er 2.31
6 N 0.2385 0.5000 0.2730  1 Ta 2.11, 2 Mg 2.24, 2 Er 2.30
7 N 0.7615 0.5000 0.7270  1 Ta 2.11, 2 Mg 2.24, 2 Er 2.30
8 N 0.7645 0.0000 0.2722  2 Ta 2.18, 3 Mg 2.24-2.35, 1 Er 2.31

=====

| no. | uncorrected formation energy (eV per atom) | VASP energy (eV per cell) | total magnetic moment (μB per cell) |
| --- | --- | --- | --- |
| 1 | -1.3524 | -69.17 | 3.99 |
| 2 | -1.1870 | -62.40 | 0.00 |